# 1
First-principles (PBE-GGA) data for a geometry-optimized Ca2GaPb structure, as listed in the Alexandria database.

Calculated values
calculated density = 4.8 g cm⁻³
total energy = -2.837 eV per atom
volume = 30.8 A^3/atom

The structure in CIF format:
```
data_Ca2GaPb
_chemical_formula_sum 'Ca8 Ga4 Pb4'
_cell_length_a 8.388
_cell_length_b 8.388
_cell_length_c 7.001
_cell_angle_alpha 90.00
_cell_angle_beta 90.00
_cell_angle_gamma 90.00
_symmetry_space_group_name_H-M 'I -4 2 d'
_symmetry_Int_Tables_number 122
_symmetry_space_group_name_Hall 'I -4 2bw'
loop_
_atom_site_label
_atom_site_type_symbol
_atom_site_fract_x
_atom_site_fract_y
_atom_site_fract_z
Ca1 Ca 0.232 0.250 0.125
Ga1 Ga 0.000 0.000 0.000
Pb1 Pb 0.000 0.000 0.500
```

---

# 2
First-principles (PBE-GGA) data for a geometry-optimized CaGaPb structure, as listed in the Alexandria database.

Calculated values
calculated density = 6.4 g cm⁻³
total energy = -3.244 eV per atom
volume = 27.3 A^3/atom

The structure in CIF format:
```
data_CaGaPb
_chemical_formula_sum 'Ca2 Ga2 Pb2'
_cell_length_a 4.631
_cell_length_b 7.388
_cell_length_c 5.285
_cell_angle_alpha 90.00
_cell_angle_beta 115.21
_cell_angle_gamma 90.00
_symmetry_space_group_name_H-M 'P 1 m 1'
_symmetry_Int_Tables_number 6
loop_
_symmetry_equiv_pos_as_xyz
'x,y,z'
'x,-y,z'
loop_
_atom_site_label
_atom_site_type_symbol
_atom_site_fract_x
_atom_site_fract_y
_atom_site_fract_z
Ca1 Ca 0.000 0.000 0.000
Ca2 Ca 0.024 0.500 0.055
Ga1 Ga 0.361 0.306 0.730
Pb1 Pb 0.688 0.229 0.381
```

---

# 3
First-principles (PBE-GGA) data for a geometry-optimized Ca3GaPb structure, as listed in the Alexandria database.

Calculated values
calculated density = 3.6 g cm⁻³
total energy = -2.673 eV per atom
polymorph energy (0 for the lowest one) = 0.295 eV per atom
volume = 36.5 A^3/atom

The structure in CIF format:
```
data_Ca3GaPb
_chemical_formula_sum 'Ca3 Ga1 Pb1'
_cell_length_a 5.672
_cell_length_b 5.672
_cell_length_c 5.672
_cell_angle_alpha 90.00
_cell_angle_beta 90.00
_cell_angle_gamma 90.00
_symmetry_space_group_name_H-M 'P m -3 m'
_symmetry_Int_Tables_number 221
_symmetry_space_group_name_Hall '-P 4 2 3'
loop_
_atom_site_label
_atom_site_type_symbol
_atom_site_fract_x
_atom_site_fract_y
_atom_site_fract_z
Ca1 Ca 0.000 0.000 0.500
Ga1 Ga 0.000 0.000 0.000
Pb1 Pb 0.500 0.500 0.500
```

---

# 4
First-principles (PBE-GGA) data for a geometry-optimized CaGaPd2Pb structure, as listed in the Alexandria database.

Calculated values
calculated density = 6.5 g cm⁻³
total energy = -3.317 eV per atom
volume = 27.2 A^3/atom

The structure in CIF format:
```
data_CaGaPd2Pb
_chemical_formula_sum 'Ca1 Ga1 Pd2 Pb1'
_cell_length_a 5.011
_cell_length_b 5.011
_cell_length_c 5.411
_cell_angle_alpha 90.00
_cell_angle_beta 90.00
_cell_angle_gamma 90.00
_symmetry_space_group_name_H-M 'P 4/m m m'
_symmetry_Int_Tables_number 123
_symmetry_space_group_name_Hall '-P 4 2'
loop_
_atom_site_label
_atom_site_type_symbol
_atom_site_fract_x
_atom_site_fract_y
_atom_site_fract_z
Ca1 Ca 0.000 0.000 0.000
Ga1 Ga 0.000 0.000 0.500
Pd1 Pd 0.000 0.500 0.000
Pb1 Pb 0.500 0.500 0.500
```

---

# 5
First-principles (PBE-GGA) data for a geometry-optimized Ca2GaPd6Pb structure, as listed in the Alexandria database.

Calculated values
calculated density = 7.0 g cm⁻³
total energy = -4.360 eV per atom
volume = 23.6 A^3/atom

The structure in CIF format:
```
data_Ca2GaPd6Pb
_chemical_formula_sum 'Ca8 Ga4 Pd24 Pb4'
_cell_length_a 9.805
_cell_length_b 9.805
_cell_length_c 9.805
_cell_angle_alpha 90.00
_cell_angle_beta 90.00
_cell_angle_gamma 90.00
_symmetry_space_group_name_H-M 'F m -3 m'
_symmetry_Int_Tables_number 225
_symmetry_space_group_name_Hall '-F 4 2 3'
loop_
_atom_site_label
_atom_site_type_symbol
_atom_site_fract_x
_atom_site_fract_y
_atom_site_fract_z
Ca1 Ca 0.250 0.250 0.250
Ga1 Ga 0.000 0.000 0.000
Pd1 Pd 0.000 0.000 0.238
Pb1 Pb 0.000 0.000 0.500
```

---

# 6
First-principles (PBE-GGA) data for a geometry-optimized Ca2Ga3Pd4Pb structure, as listed in the Alexandria database.

Calculated values
calculated density = 7.4 g cm⁻³
total energy = -4.397 eV per atom
volume = 20.7 A^3/atom

The structure in CIF format:
```
data_Ca2Ga3Pd4Pb
_chemical_formula_sum 'Ca2 Ga3 Pd4 Pb1'
_cell_length_a 4.439
_cell_length_b 4.439
_cell_length_c 10.520
_cell_angle_alpha 90.00
_cell_angle_beta 90.00
_cell_angle_gamma 90.00
_symmetry_space_group_name_H-M 'P -4 m 2'
_symmetry_Int_Tables_number 115
loop_
_symmetry_equiv_pos_as_xyz
'x,y,z'
'y,-x,-z'
'-x,-y,z'
'-y,x,-z'
'-x,y,z'
'-y,-x,-z'
'x,-y,z'
'y,x,-z'
loop_
_atom_site_label
_atom_site_type_symbol
_atom_site_fract_x
_atom_site_fract_y
_atom_site_fract_z
Ca1 Ca 0.000 0.500 0.235
Ga1 Ga 0.000 0.500 0.885
Ga2 Ga 0.500 0.500 0.500
Pd1 Pd 0.000 0.000 0.000
Pd2 Pd 0.000 0.500 0.652
Pd3 Pd 0.500 0.500 0.000
Pb1 Pb 0.000 0.000 0.500
```

---

# 7
First-principles (PBE-GGA) data for a geometry-optimized Ca2Ga2Pd5Pb structure, as listed in the Alexandria database.

Calculated values
calculated density = 8.3 g cm⁻³
total energy = -4.637 eV per atom
volume = 19.2 A^3/atom

The structure in CIF format:
```
data_Ca2Ga2Pd5Pb
_chemical_formula_sum 'Ca4 Ga4 Pd10 Pb2'
_cell_length_a 10.090
_cell_length_b 10.090
_cell_length_c 3.763
_cell_angle_alpha 90.00
_cell_angle_beta 90.00
_cell_angle_gamma 90.00
_symmetry_space_group_name_H-M 'P 4/m b m'
_symmetry_Int_Tables_number 127
_symmetry_space_group_name_Hall '-P 4 2ab'
loop_
_atom_site_label
_atom_site_type_symbol
_atom_site_fract_x
_atom_site_fract_y
_atom_site_fract_z
Ca1 Ca 0.178 0.322 0.000
Ga1 Ga 0.119 0.619 0.000
Pd1 Pd 0.000 0.500 0.500
Pd2 Pd 0.066 0.784 0.500
Pb1 Pb 0.000 0.000 0.000
```

---

# 8
First-principles (PBE-GGA) data for a geometry-optimized Ca2GaPtPb structure, as listed in the Alexandria database.

Calculated values
calculated density = 6.2 g cm⁻³
total energy = -3.894 eV per atom
volume = 29.4 A^3/atom

The structure in CIF format:
```
data_Ca2GaPtPb
_chemical_formula_sum 'Ca2 Ga1 Pt1 Pb1'
_cell_length_a 5.515
_cell_length_b 5.515
_cell_length_c 4.832
_cell_angle_alpha 90.00
_cell_angle_beta 90.00
_cell_angle_gamma 90.00
_symmetry_space_group_name_H-M 'P 4/m m m'
_symmetry_Int_Tables_number 123
_symmetry_space_group_name_Hall '-P 4 2'
loop_
_atom_site_label
_atom_site_type_symbol
_atom_site_fract_x
_atom_site_fract_y
_atom_site_fract_z
Ca1 Ca 0.000 0.500 0.000
Ga1 Ga 0.000 0.000 0.500
Pt1 Pt 0.000 0.000 0.000
Pb1 Pb 0.500 0.500 0.500
```

---

# 9
First-principles (PBE-GGA) data for a geometry-optimized CaPuGaPb structure, as listed in the Alexandria database.

Calculated values
calculated density = 8.6 g cm⁻³
total energy = -6.030 eV per atom
volume = 27.1 A^3/atom

The structure in CIF format:
```
data_CaPuGaPb
_chemical_formula_sum 'Ca4 Pu4 Ga4 Pb4'
_cell_length_a 7.572
_cell_length_b 7.572
_cell_length_c 7.572
_cell_angle_alpha 90.00
_cell_angle_beta 90.00
_cell_angle_gamma 90.00
_symmetry_space_group_name_H-M 'F -4 3 m'
_symmetry_Int_Tables_number 216
_symmetry_space_group_name_Hall 'F -4 2 3'
loop_
_atom_site_label
_atom_site_type_symbol
_atom_site_fract_x
_atom_site_fract_y
_atom_site_fract_z
Ca1 Ca 0.000 0.000 0.000
Pu1 Pu 0.000 0.000 0.500
Ga1 Ga 0.250 0.250 0.750
Pb1 Pb 0.250 0.250 0.250
```

---

# 10
First-principles (PBE-GGA) data for a geometry-optimized CaGaRh2Pb structure, as listed in the Alexandria database.

Calculated values
calculated density = 7.0 g cm⁻³
total energy = -3.727 eV per atom
volume = 25.0 A^3/atom

The structure in CIF format:
```
data_CaGaRh2Pb
_chemical_formula_sum 'Ca1 Ga1 Rh2 Pb1'
_cell_length_a 4.885
_cell_length_b 4.885
_cell_length_c 5.235
_cell_angle_alpha 90.00
_cell_angle_beta 90.00
_cell_angle_gamma 90.00
_symmetry_space_group_name_H-M 'P 4/m m m'
_symmetry_Int_Tables_number 123
_symmetry_space_group_name_Hall '-P 4 2'
loop_
_atom_site_label
_atom_site_type_symbol
_atom_site_fract_x
_atom_site_fract_y
_atom_site_fract_z
Ca1 Ca 0.000 0.000 0.000
Ga1 Ga 0.000 0.000 0.500
Rh1 Rh 0.000 0.500 0.000
Pb1 Pb 0.500 0.500 0.500
```

---

# 11
First-principles (PBE-GGA) data for a geometry-optimized CaGaPbSe2 structure, as listed in the Alexandria database.

Calculated values
raw formation energy = 95.3 kJ/mol of formula units
calculated density = 4.3 g cm⁻³
total energy = -2.944 eV per atom
volume = 36.9 A^3/atom

The structure in CIF format:
```
data_CaGaPbSe2
_chemical_formula_sum 'Ca1 Ga1 Pb1 Se2'
_cell_length_a 5.683
_cell_length_b 5.683
_cell_length_c 5.714
_cell_angle_alpha 90.00
_cell_angle_beta 90.00
_cell_angle_gamma 90.00
_symmetry_space_group_name_H-M 'P 4/m m m'
_symmetry_Int_Tables_number 123
_symmetry_space_group_name_Hall '-P 4 2'
loop_
_atom_site_label
_atom_site_type_symbol
_atom_site_fract_x
_atom_site_fract_y
_atom_site_fract_z
Ca1 Ca 0.000 0.000 0.000
Ga1 Ga 0.500 0.500 0.000
Pb1 Pb 0.000 0.000 0.500
Se1 Se 0.000 0.500 0.500
```

---

# 12
First-principles (PBE-GGA) data for a geometry-optimized CaGaSiPb2 structure, as listed in the Alexandria database.

Calculated values
raw formation energy = 121.6 kJ/mol of formula units
calculated density = 6.1 g cm⁻³
total energy = -3.322 eV per atom
volume = 30.0 A^3/atom

The structure in CIF format:
```
data_CaGaSiPb2
_chemical_formula_sum 'Ca1 Ga1 Si1 Pb2'
_cell_length_a 5.554
_cell_length_b 5.554
_cell_length_c 4.867
_cell_angle_alpha 90.00
_cell_angle_beta 90.00
_cell_angle_gamma 90.00
_symmetry_space_group_name_H-M 'P 4/m m m'
_symmetry_Int_Tables_number 123
_symmetry_space_group_name_Hall '-P 4 2'
loop_
_atom_site_label
_atom_site_type_symbol
_atom_site_fract_x
_atom_site_fract_y
_atom_site_fract_z
Ca1 Ca 0.000 0.000 0.000
Ga1 Ga 0.500 0.500 0.500
Si1 Si 0.500 0.500 0.000
Pb1 Pb 0.000 0.500 0.500
```